Entry 1:
A plane-wave DFT calculation with PBE was carried out for a relaxed CsSnPPt2 crystal.

Properties
- Calculated density: 7942 kg/m3

Geometry as CIF:
```
data_CsSnPPt2
_chemical_formula_sum 'Cs1 Sn1 P1 Pt2'
_cell_length_a 5.1913
_cell_length_b 5.2195
_cell_length_c 5.1913
_cell_angle_alpha 90.00
_cell_angle_beta 90.00
_cell_angle_gamma 90.00
_space_group_name_H-M_alt 'P 1'
_space_group_IT_number 1
loop_
_space_group_symop_operation_xyz
'x,y,z'
loop_
_atom_site_label
_atom_site_type_symbol
_atom_site_fract_x
_atom_site_fract_y
_atom_site_fract_z
Sn1 Sn 0.0000 0.0000 0.0000
Cs1 Cs 0.5000 0.5000 0.5000
P1 P 0.0000 0.5000 0.0000
Pt1 Pt 0.5000 0.0000 0.0000
Pt2 Pt 0.0000 0.0000 0.5000
```

=====

Entry 2:
A plane-wave DFT calculation with PBE was carried out for a relaxed CsTaPPt2 crystal.

Properties
- Calculated density: 10330 kg/m3

Geometry as CIF:
```
data_CsTaPPt2
_chemical_formula_sum 'Cs1 Ta1 P1 Pt2'
_cell_length_a 4.5923
_cell_length_b 5.6024
_cell_length_c 4.5923
_cell_angle_alpha 90.00
_cell_angle_beta 90.00
_cell_angle_gamma 90.00
_space_group_name_H-M_alt 'P 1'
_space_group_IT_number 1
loop_
_space_group_symop_operation_xyz
'x,y,z'
loop_
_atom_site_label
_atom_site_type_symbol
_atom_site_fract_x
_atom_site_fract_y
_atom_site_fract_z
Pt1 Pt 0.5000 0.0000 0.0000
Cs1 Cs 0.0000 0.5000 0.0000
Pt2 Pt 0.0000 0.0000 0.5000
Ta1 Ta 0.5000 0.5000 0.5000
P1 P 0.0000 0.0000 0.0000
```

=====

Entry 3:
A plane-wave DFT calculation with PBE was carried out for a relaxed CsTbP2Pt4 crystal.

Properties
- Calculated density: 10082 kg/m3

Geometry as CIF:
```
data_CsTbP2Pt4
_chemical_formula_sum 'Cs1 Tb1 P2 Pt4'
_cell_length_a 4.0490
_cell_length_b 4.0490
_cell_length_c 11.3937
_cell_angle_alpha 90.00
_cell_angle_beta 90.00
_cell_angle_gamma 90.00
_space_group_name_H-M_alt 'P 1'
_space_group_IT_number 1
loop_
_space_group_symop_operation_xyz
'x,y,z'
loop_
_atom_site_label
_atom_site_type_symbol
_atom_site_fract_x
_atom_site_fract_y
_atom_site_fract_z
Tb1 Tb 0.0000 0.0000 0.0000
Pt1 Pt 0.0000 0.5000 0.8105
P1 P 0.5000 0.5000 0.2934
Pt2 Pt 0.5000 0.0000 0.1895
Pt3 Pt 0.0000 0.5000 0.1895
P2 P 0.5000 0.5000 0.7066
Pt4 Pt 0.5000 0.0000 0.8105
Cs1 Cs 0.0000 0.0000 0.5000
```

=====

| no. | total DFT energy (no corrections) (eV/atom) | calculated formation energy (eV/f.u.) | DOS(E_F) (states/eV per cell) |
| --- | --- | --- | --- |
| 1 | -3.98 | 2.425 | 3.1 |
| 2 | -4.77 | 6.328 | 5.8 |
| 3 | -5.81 | -6.001 | 4.9 |